Record 1
## MgZr2P (PBE)

Data for crystalline MgZr2P at its relaxed geometry.

Cell lengths 3.8957, 5.0176, 8.4409 Å; angles 90.00, 90.00, 90.00 degrees
Last column: nearest neighbours and their distance in Å.
Element x y z (fractional)
1 Mg 0.0000 0.0000 0.0000  4 Mg 3.18, 4 Zr 3.19
2 Mg 0.5000 0.5000 0.0000  4 Mg 3.18, 4 Zr 3.19
3 Zr 0.0000 0.5000 0.2991  2 P 2.58
4 Zr 0.0000 0.5000 0.7009  2 P 2.58
5 Zr 0.5000 0.0000 0.2991  2 P 2.58
6 Zr 0.5000 0.0000 0.7009  2 P 2.58
7 P 0.0000 0.0000 0.5000  4 Zr 2.58
8 P 0.5000 0.5000 0.5000  4 Zr 2.58

Computed properties:
Volume (Å³/cell): 165.0
ΔE to the lowest computed polymorph (meV per atom): 148
Space-group type: Cmmm
Density of states at the Fermi level (states/eV/atom): 0.658

Record 2
## MgZrP2 (PBE)

Data for crystalline MgZrP2 at its relaxed geometry.

Cell lengths 5.9486, 5.9486, 11.6360 Å; angles 90.00, 90.00, 90.00 degrees
Last column: nearest neighbours and their distance in Å.
Element x y z (fractional)
1 Mg 0.0000 0.0000 0.0000  4 P 2.58
2 Mg 0.0000 0.5000 0.2500  4 P 2.58
3 Mg 0.5000 0.0000 0.7500  4 P 2.58
4 Mg 0.5000 0.5000 0.5000  4 P 2.58
5 Zr 0.0000 0.0000 0.5000  4 P 2.53
6 Zr 0.0000 0.5000 0.7500  4 P 2.53
7 Zr 0.5000 0.0000 0.2500  4 P 2.53
8 Zr 0.5000 0.5000 0.0000  4 P 2.53
9 P 0.2426 0.2500 0.6250  2 Zr 2.53, 2 Mg 2.58
10 P 0.2500 0.7426 0.8750  2 Zr 2.53, 2 Mg 2.58
11 P 0.2500 0.7574 0.3750  2 Zr 2.53, 2 Mg 2.58
12 P 0.2574 0.2500 0.1250  2 Zr 2.53, 2 Mg 2.58
13 P 0.7426 0.7500 0.1250  2 Zr 2.53, 2 Mg 2.58
14 P 0.7500 0.2426 0.3750  2 Zr 2.53, 2 Mg 2.58
15 P 0.7500 0.2574 0.8750  2 Zr 2.53, 2 Mg 2.58
16 P 0.7574 0.7500 0.6250  2 Zr 2.53, 2 Mg 2.58

Computed properties:
Volume (Å³/cell): 411.7
Space-group type: I-42d
Total energy (eV/atom): -5.846
Density of states at the Fermi level (states/eV/atom): 0.000

Record 3
## Mg2ZrP (PBE)

Data for crystalline Mg2ZrP at its relaxed geometry.

Cell lengths 6.7493, 6.7493, 6.7493 Å; angles 90.00, 90.00, 90.00 degrees
Last column: nearest neighbours and their distance in Å.
Element x y z (fractional)
1 Mg 0.0000 0.0000 0.0000  4 Zr 2.92, 4 Mg 2.92
2 Mg 0.0000 0.5000 0.5000  4 Zr 2.92, 4 Mg 2.92
3 Mg 0.2500 0.2500 0.2500  4 Mg 2.92, 4 P 2.92
4 Mg 0.2500 0.7500 0.7500  4 Mg 2.92, 4 P 2.92
5 Mg 0.5000 0.0000 0.5000  4 Zr 2.92, 4 Mg 2.92
6 Mg 0.5000 0.5000 0.0000  4 Zr 2.92, 4 Mg 2.92
7 Mg 0.7500 0.2500 0.7500  4 Mg 2.92, 4 P 2.92
8 Mg 0.7500 0.7500 0.2500  4 Mg 2.92, 4 P 2.92
9 Zr 0.2500 0.2500 0.7500  4 Mg 2.92, 4 P 2.92
10 Zr 0.2500 0.7500 0.2500  4 Mg 2.92, 4 P 2.92
11 Zr 0.7500 0.2500 0.2500  4 Mg 2.92, 4 P 2.92
12 Zr 0.7500 0.7500 0.7500  4 Mg 2.92, 4 P 2.92
13 P 0.0000 0.0000 0.5000  4 Zr 2.92, 4 Mg 2.92
14 P 0.0000 0.5000 0.0000  4 Zr 2.92, 4 Mg 2.92
15 P 0.5000 0.0000 0.0000  4 Zr 2.92, 4 Mg 2.92
16 P 0.5000 0.5000 0.5000  4 Zr 2.92, 4 Mg 2.92

Computed properties:
Volume (Å³/cell): 307.5
Space-group type: F-43m
Total energy (eV/atom): -4.260
Density of states at the Fermi level (states/eV/atom): 0.860

Record 4
## MgZr2P (PBE)

Data for crystalline MgZr2P at its relaxed geometry.

Cell lengths 3.9591, 3.6572, 10.5087 Å; angles 90.00, 90.00, 90.00 degrees
Last column: nearest neighbours and their distance in Å.
Element x y z (fractional)
1 Mg 0.0000 0.0000 0.0000  2 P 2.54, 4 Zr 2.83
2 Mg 0.0000 0.5000 0.5000  2 P 2.54, 4 Zr 2.83
3 Zr 0.0000 0.0000 0.7241  4 P 2.80, 3 Mg 2.90-2.98
4 Zr 0.0000 0.5000 0.2241  4 P 2.80, 3 Mg 2.90-2.98
5 Zr 0.5000 0.0000 0.4181  3 P 2.80-3.06, 4 Mg 2.83
6 Zr 0.5000 0.5000 0.9181  3 P 2.80-3.06, 4 Mg 2.83
7 P 0.5000 0.0000 0.1513  2 Mg 2.54, 5 Zr 2.80
8 P 0.5000 0.5000 0.6513  2 Mg 2.54, 5 Zr 2.80

Computed properties:
Volume (Å³/cell): 152.2
ΔE to the lowest computed polymorph (meV per atom): 61
Space-group type: Amm2
Density of states at the Fermi level (states/eV/atom): 0.561

Record 5
## MgZr2P (PBE)

Data for crystalline MgZr2P at its relaxed geometry.

Cell lengths 7.5936, 7.5936, 5.7800 Å; angles 90.00, 90.00, 90.00 degrees
Last column: nearest neighbours and their distance in Å.
Element x y z (fractional)
1 Mg 0.0000 0.0000 0.0000  2 P 2.89, 4 Zr 3.00
2 Mg 0.0000 0.5000 0.2500  2 P 2.89, 4 Zr 3.00
3 Mg 0.5000 0.0000 0.7500  2 P 2.89, 4 Zr 3.00
4 Mg 0.5000 0.5000 0.5000  2 P 2.89, 4 Zr 3.00
5 Zr 0.2094 0.2500 0.6250  2 P 2.58
6 Zr 0.2500 0.7094 0.8750  2 P 2.58
7 Zr 0.2500 0.7906 0.3750  2 P 2.58
8 Zr 0.2906 0.2500 0.1250  2 P 2.58
9 Zr 0.7094 0.7500 0.1250  2 P 2.58
10 Zr 0.7500 0.2094 0.3750  2 P 2.58
11 Zr 0.7500 0.2906 0.8750  2 P 2.58
12 Zr 0.7906 0.7500 0.6250  2 P 2.58
13 P 0.0000 0.0000 0.5000  4 Zr 2.58
14 P 0.0000 0.5000 0.7500  4 Zr 2.58
15 P 0.5000 0.0000 0.2500  4 Zr 2.58
16 P 0.5000 0.5000 0.0000  4 Zr 2.58

Computed properties:
Volume (Å³/cell): 333.3
ΔE to the lowest computed polymorph (meV per atom): 321
Space-group type: I-42d
Density of states at the Fermi level (states/eV/atom): 0.779

Record 6
## Mg3ZrP (PBE)

Data for crystalline Mg3ZrP at its relaxed geometry.

Cell lengths 4.8778, 4.8778, 4.8778 Å; angles 90.00, 90.00, 90.00 degrees
Last column: nearest neighbours and their distance in Å.
Element x y z (fractional)
1 Mg 0.0000 0.0000 0.5000  2 P 2.44
2 Mg 0.0000 0.5000 0.0000  2 P 2.44
3 Mg 0.5000 0.0000 0.0000  2 P 2.44
4 Zr 0.5000 0.5000 0.5000  12 Mg 3.45
5 P 0.0000 0.0000 0.0000  6 Mg 2.44

Computed properties:
Volume (Å³/cell): 116.1
ΔE to the lowest computed polymorph (meV per atom): 0
Space-group type: Pm-3m
Density of states at the Fermi level (states/eV/atom): 0.622

Record 7
## Mg2ZrP (PBE)

Data for crystalline Mg2ZrP at its relaxed geometry.

Cell lengths 4.0235, 4.0235, 4.5602 Å; angles 90.00, 90.00, 90.00 degrees
Last column: nearest neighbours and their distance in Å.
Element x y z (fractional)
1 Mg 0.0000 0.5000 0.0000  4 Mg 2.85, 4 Zr 3.04, 4 P 3.04
2 Mg 0.5000 0.0000 0.0000  4 Mg 2.85, 4 Zr 3.04, 4 P 3.04
3 Zr 0.0000 0.0000 0.5000  4 P 2.85, 8 Mg 3.04
4 P 0.5000 0.5000 0.5000  4 Zr 2.85, 8 Mg 3.04

Computed properties:
Volume (Å³/cell): 73.8
Space-group type: P4/mmm
Total energy (eV/atom): -4.562
Density of states at the Fermi level (states/eV/atom): 0.504

Record 8
## Mg2ZrP (PBE)

Data for crystalline Mg2ZrP at its relaxed geometry.

Cell lengths 3.5038, 4.1652, 10.6436 Å; angles 90.00, 90.00, 90.00 degrees
Last column: nearest neighbours and their distance in Å.
Element x y z (fractional)
1 Mg 0.0000 0.0000 0.2149  4 Mg 2.82, 2 P 2.88, 2 Zr 3.09
2 Mg 0.0000 0.0000 0.7851  4 Mg 2.82, 2 P 2.88, 2 Zr 3.09
3 Mg 0.5000 0.5000 0.2851  4 Mg 2.82, 2 P 2.88, 2 Zr 3.09
4 Mg 0.5000 0.5000 0.7149  4 Mg 2.82, 2 P 2.88, 2 Zr 3.09
5 Zr 0.0000 0.5000 0.0000  4 P 2.72
6 Zr 0.5000 0.0000 0.5000  4 P 2.72
7 P 0.0000 0.5000 0.5000  4 Zr 2.72, 4 Mg 2.88
8 P 0.5000 0.0000 0.0000  4 Zr 2.72, 4 Mg 2.88

Computed properties:
Volume (Å³/cell): 155.3
Space-group type: Immm
Total energy (eV/atom): -4.683
Density of states at the Fermi level (states/eV/atom): 0.449

Record 9
## MgZr2P (PBE)

Data for crystalline MgZr2P at its relaxed geometry.

Cell lengths 3.6769, 3.6769, 5.8948 Å; angles 90.00, 90.00, 90.00 degrees
Last column: nearest neighbours and their distance in Å.
Element x y z (fractional)
1 Mg 0.0000 0.0000 0.0000  6 Zr 2.81-3.08, 4 P 3.06
2 Zr 0.0000 0.0000 0.4775  2 Mg 2.81-3.08, 4 P 2.86, 4 Zr 3.05
3 Zr 0.5000 0.5000 0.7478  2 P 2.79-3.10, 4 Mg 3.00, 4 Zr 3.05
4 P 0.5000 0.5000 0.2739  6 Zr 2.79-3.10, 4 Mg 3.06

Computed properties:
Volume (Å³/cell): 79.7
ΔE to the lowest computed polymorph (meV per atom): 316
Space-group type: P4mm
Density of states at the Fermi level (states/eV/atom): 1.232

Record 10
## MgZr2P (PBE)

Data for crystalline MgZr2P at its relaxed geometry.

Cell lengths 4.2843, 4.2843, 4.0944 Å; angles 90.00, 90.00, 90.00 degrees
Last column: nearest neighbours and their distance in Å.
Element x y z (fractional)
1 Mg 0.0000 0.0000 0.0000  8 Zr 2.96, 4 P 3.03
2 Zr 0.0000 0.5000 0.5000  4 P 2.96, 4 Mg 2.96, 4 Zr 3.03
3 Zr 0.5000 0.0000 0.5000  4 P 2.96, 4 Mg 2.96, 4 Zr 3.03
4 P 0.5000 0.5000 0.0000  8 Zr 2.96, 4 Mg 3.03

Computed properties:
Volume (Å³/cell): 75.2
ΔE to the lowest computed polymorph (meV per atom): 317
Space-group type: P4/mmm
Density of states at the Fermi level (states/eV/atom): 1.025

Record 11
## MgZrP2 (PBE)

Data for crystalline MgZrP2 at its relaxed geometry.

Cell lengths 3.7592, 3.7592, 5.3515 Å; angles 90.00, 90.00, 90.00 degrees
Last column: nearest neighbours and their distance in Å.
Element x y z (fractional)
1 Mg 0.0000 0.0000 0.0000  6 P 2.66-2.68
2 Zr 0.5000 0.5000 0.5040  6 P 2.66-2.68
3 P 0.0000 0.0000 0.5004  4 Zr 2.66, 2 Mg 2.67-2.68
4 P 0.5000 0.5000 0.0023  4 Mg 2.66, 2 Zr 2.67-2.68

Computed properties:
Volume (Å³/cell): 75.6
Space-group type: P4mm
Total energy (eV/atom): -6.102
Density of states at the Fermi level (states/eV/atom): 0.453

Record 12
## Mg2ZrP (PBE)

Data for crystalline Mg2ZrP at its relaxed geometry.

Cell lengths 3.2981, 3.2981, 7.2021 Å; angles 90.00, 90.00, 90.00 degrees
Last column: nearest neighbours and their distance in Å.
Element x y z (fractional)
1 Mg 0.0000 0.0000 0.2031  4 P 2.75, 1 Mg 2.93
2 Mg 0.0000 0.0000 0.7969  4 P 2.75, 1 Mg 2.93
3 Zr 0.5000 0.5000 0.5000  8 Mg 3.16, 4 Zr 3.30
4 P 0.5000 0.5000 0.0000  8 Mg 2.75

Computed properties:
Volume (Å³/cell): 78.3
Space-group type: P4/mmm
Total energy (eV/atom): -4.384
Density of states at the Fermi level (states/eV/atom): 0.674

Record 13
## MgZrP2 (PBE)

Data for crystalline MgZrP2 at its relaxed geometry.

Cell lengths 2.8678, 2.8678, 10.0518 Å; angles 90.00, 90.00, 90.00 degrees
Last column: nearest neighbours and their distance in Å.
Element x y z (fractional)
1 Mg 0.0000 0.0000 0.0000  4 P 2.70, 4 Mg 2.87
2 Zr 0.5000 0.5000 0.7341  4 P 2.83, 4 Zr 2.87
3 P 0.0000 0.0000 0.5378  4 Zr 2.83, 4 P 2.87
4 P 0.5000 0.5000 0.1774  4 Mg 2.70, 4 P 2.87

Computed properties:
Volume (Å³/cell): 82.7
Space-group type: P4mm
Total energy (eV/atom): -5.203
Density of states at the Fermi level (states/eV/atom): 0.293

Record 14
## Mg3ZrP (PBE)

Data for crystalline Mg3ZrP at its relaxed geometry.

Cell lengths 5.5408, 5.5408, 5.5408 Å; angles 90.00, 90.00, 90.00 degrees
Last column: nearest neighbours and their distance in Å.
Element x y z (fractional)
1 Mg 0.0000 0.0000 0.5000  2 Zr 2.77
2 Mg 0.0000 0.5000 0.0000  2 Zr 2.77
3 Mg 0.5000 0.0000 0.0000  2 Zr 2.77
4 Zr 0.0000 0.0000 0.0000  6 Mg 2.77
5 P 0.5000 0.5000 0.5000  12 Mg 3.92

Computed properties:
Volume (Å³/cell): 170.1
ΔE to the lowest computed polymorph (meV per atom): 1181
Space-group type: Pm-3m
Density of states at the Fermi level (states/eV/atom): 0.963

Record 15
## Mg2ZrP (PBE)

Data for crystalline Mg2ZrP at its relaxed geometry.

Cell lengths 5.4787, 9.6943, 2.9909 Å; angles 90.00, 90.00, 90.00 degrees
Last column: nearest neighbours and their distance in Å.
Element x y z (fractional)
1 Mg 0.2500 0.2500 0.0000  4 Mg 2.74-2.99
2 Mg 0.2500 0.7500 0.0000  4 Mg 2.74-2.99
3 Mg 0.7500 0.2500 0.0000  4 Mg 2.74-2.99
4 Mg 0.7500 0.7500 0.0000  4 Mg 2.74-2.99
5 Zr 0.0000 0.0000 0.5000  2 P 2.74, 2 Zr 2.99
6 Zr 0.5000 0.5000 0.5000  2 P 2.74, 2 Zr 2.99
7 P 0.0000 0.5000 0.5000  2 Zr 2.74, 2 P 2.99
8 P 0.5000 0.0000 0.5000  2 Zr 2.74, 2 P 2.99

Computed properties:
Volume (Å³/cell): 158.9
Space-group type: Cmmm
Total energy (eV/atom): -4.397
Density of states at the Fermi level (states/eV/atom): 0.566

Record 16
## MgZr2P (PBE)

Data for crystalline MgZr2P at its relaxed geometry.

Cell lengths 6.7158, 6.7158, 6.7158 Å; angles 90.00, 90.00, 90.00 degrees
Last column: nearest neighbours and their distance in Å.
Element x y z (fractional)
1 Mg 0.0000 0.0000 0.0000  8 Zr 2.91
2 Mg 0.0000 0.5000 0.5000  8 Zr 2.91
3 Mg 0.5000 0.0000 0.5000  8 Zr 2.91
4 Mg 0.5000 0.5000 0.0000  8 Zr 2.91
5 Zr 0.2500 0.2500 0.2500  4 Mg 2.91, 4 P 2.91
6 Zr 0.2500 0.2500 0.7500  4 Mg 2.91, 4 P 2.91
7 Zr 0.2500 0.7500 0.2500  4 Mg 2.91, 4 P 2.91
8 Zr 0.2500 0.7500 0.7500  4 Mg 2.91, 4 P 2.91
9 Zr 0.7500 0.2500 0.2500  4 Mg 2.91, 4 P 2.91
10 Zr 0.7500 0.2500 0.7500  4 Mg 2.91, 4 P 2.91
11 Zr 0.7500 0.7500 0.2500  4 Mg 2.91, 4 P 2.91
12 Zr 0.7500 0.7500 0.7500  4 Mg 2.91, 4 P 2.91
13 P 0.0000 0.0000 0.5000  8 Zr 2.91
14 P 0.0000 0.5000 0.0000  8 Zr 2.91
15 P 0.5000 0.0000 0.0000  8 Zr 2.91
16 P 0.5000 0.5000 0.5000  8 Zr 2.91

Computed properties:
Volume (Å³/cell): 302.9
ΔE to the lowest computed polymorph (meV per atom): 461
Space-group type: Fm-3m
Density of states at the Fermi level (states/eV/atom): 0.668

Record 17
## MgZr2P (PBE)

Data for crystalline MgZr2P at its relaxed geometry.

Cell lengths 5.9102, 7.6190, 3.3670 Å; angles 90.00, 90.25, 90.00 degrees
Last column: nearest neighbours and their distance in Å.
Element x y z (fractional)
1 Mg 0.0000 0.0000 0.0000  8 Zr 2.94, 2 P 2.96
2 Mg 0.5000 0.5000 0.0000  8 Zr 2.94, 2 P 2.96
3 Zr 0.2500 0.2500 0.5000  4 Mg 2.94, 4 P 2.94, 2 Zr 2.96
4 Zr 0.2500 0.7500 0.5000  4 Mg 2.94, 4 P 2.94, 2 Zr 2.96
5 Zr 0.7500 0.2500 0.5000  4 Mg 2.94, 4 P 2.94, 2 Zr 2.96
6 Zr 0.7500 0.7500 0.5000  4 P 2.94, 4 Mg 2.94, 2 Zr 2.96
7 P 0.0000 0.5000 0.0000  8 Zr 2.94, 2 Mg 2.96
8 P 0.5000 0.0000 0.0000  8 Zr 2.94, 2 Mg 2.96

Computed properties:
Volume (Å³/cell): 151.6
ΔE to the lowest computed polymorph (meV per atom): 322
Space-group type: C2/m
Density of states at the Fermi level (states/eV/atom): 0.805

Record 18
## MgPa3 (PBE)

Data for crystalline MgPa3 at its relaxed geometry.

Cell lengths 4.5971, 4.5971, 4.5971 Å; angles 90.00, 90.00, 90.00 degrees
Last column: nearest neighbours and their distance in Å.
Element x y z (fractional)
1 Mg 0.0000 0.0000 0.0000  12 Pa 3.25
2 Pa 0.0000 0.5000 0.5000  8 Pa 3.25, 4 Mg 3.25
3 Pa 0.5000 0.0000 0.5000  8 Pa 3.25, 4 Mg 3.25
4 Pa 0.5000 0.5000 0.0000  8 Pa 3.25, 4 Mg 3.25

Computed properties:
Volume (Å³/cell): 97.2
ΔE to the lowest computed polymorph (meV per atom): 63
Space-group type: Pm-3m
Density of states at the Fermi level (states/eV/atom): 2.088

Record 19
## MgPa2 (PBE)

Data for crystalline MgPa2 at its relaxed geometry.

Cell lengths 6.0571, 6.0571, 6.0571 Å; angles 60.00, 60.00, 60.00 degrees
Last column: nearest neighbours and their distance in Å.
Element x y z (fractional)
1 Mg 0.1250 0.1250 0.1250  12 Pa 3.55, 4 Mg 3.71
2 Mg 0.8750 0.8750 0.8750  12 Pa 3.55, 4 Mg 3.71
3 Pa 0.0000 0.5000 0.5000  6 Pa 3.03
4 Pa 0.5000 0.0000 0.5000  6 Pa 3.03
5 Pa 0.5000 0.5000 0.0000  6 Pa 3.03
6 Pa 0.5000 0.5000 0.5000  6 Pa 3.03

Computed properties:
Volume (Å³/cell): 157.1
Space-group type: Fd-3m
Total energy (eV/atom): -6.417
Density of states at the Fermi level (states/eV/atom): 2.254

Record 20
## MgPa (PBE)

Data for crystalline MgPa at its relaxed geometry.

Cell lengths 3.1380, 3.1380, 11.2930 Å; angles 90.00, 90.00, 120.00 degrees
Last column: nearest neighbours and their distance in Å.
Element x y z (fractional)
1 Mg 0.3333 0.6667 0.1184  9 Mg 3.14-3.23, 3 Pa 3.39
2 Mg 0.6667 0.3333 0.8816  9 Mg 3.14-3.23, 3 Pa 3.39
3 Pa 0.3333 0.6667 0.6283  9 Pa 3.14-3.42, 3 Mg 3.39
4 Pa 0.6667 0.3333 0.3717  9 Pa 3.14-3.42, 3 Mg 3.39

Computed properties:
Volume (Å³/cell): 96.3
Space-group type: P-3m1
Total energy (eV/atom): -5.477
Density of states at the Fermi level (states/eV/atom): 1.659